A plane-wave DFT calculation with GGA-PBE was carried out for a geometry-optimized TbMgZrTc structure.

Properties
As for the total energy: -25.27 eV/f.u. As for the calculated formation energy: -0.032 eV per atom. For the density of states at the Fermi level, the calculation gives 15.6 states/eV/cell.

Cell lengths 6.951, 6.951, 6.951 Å; angles 90.00, 90.00, 90.00 degrees
Space group F-43m (No. 216)
Symmetry-distinct sites (fractional):
Tb: 0.000 0.000 0.000
Mg: 0.250 0.250 0.750
Zr: 0.000 0.000 0.500
Tc: 0.250 0.250 0.250